An optimized crystal structure of CoBi2RhO6, computed with GGA+U.

Structure (POSCAR):
```
CoBi2RhO6
1.0
4.3639 0.0000 0.0000
0.0000 5.5092 0.0000
0.0000 0.0000 5.5092
Co Bi Rh O
1 2 1 6
Cartesian
2.4811 0.0000 0.0000
0.0776 2.7546 0.0000
0.0776 0.0000 2.7546
2.8287 2.7546 2.7546
3.1266 1.3399 1.3399
3.1266 1.3399 4.1693
0.6923 2.7546 2.7546
0.7415 0.0000 0.0000
3.1266 4.1693 4.1693
3.1266 4.1693 1.3399
```

Values from the calculation:
**Total energy**: -0.433 Ry per atom
**Calculated volume**: 132 Å³ per cell

***

An optimized crystal structure of CoBiRuO6, computed with GGA+U.

Structure (POSCAR):
```
CoBiRuO6
1.0
-0.6892 -0.3976 4.7957
5.0462 -0.1444 0.7132
-2.4503 4.4709 0.0186
Co Bi Ru O
1 1 1 6
Cartesian
-0.3446 -0.1988 2.3979
0.0485 2.9325 0.2501
2.2028 1.1953 2.8795
1.4423 2.6206 3.9625
1.0633 -0.1641 3.6771
3.6521 0.8694 4.1348
0.7471 1.1345 1.5912
3.2992 -0.0462 1.8601
3.0127 2.7575 2.0514
```

Values from the calculation:
**Total energy**: -0.462 Ry per atom
**Calculated volume**: 109 Å³ per cell

***

An optimized crystal structure of CoBi2RuO6, computed with GGA+U.

Structure (POSCAR):
```
CoBi2RuO6
1.0
4.1021 0.0000 0.0000
0.0000 5.4981 0.0000
0.0000 0.0000 5.4981
Co Bi Ru O
1 2 1 6
Cartesian
2.6001 2.7491 2.7491
0.1601 2.7491 0.0000
0.1601 0.0000 2.7491
2.5215 0.0000 0.0000
2.8913 1.4044 1.4044
2.8913 1.4044 4.0938
0.6807 2.7491 2.7491
0.5536 0.0000 0.0000
2.8913 4.0938 4.0938
2.8913 4.0938 1.4044
```

Values from the calculation:
**Total energy**: -0.444 Ry per atom
**Calculated volume**: 124 Å³ per cell